1.
VASP calculation (PBE) on crystalline RbOs2O7 at its relaxed geometry.

Properties
Space group: Cmmm (65)
Crystal system: orthorhombic
Final energy, eV per atom: -6.7817

Cell lengths 6.063, 6.063, 3.819 Å; angles 90.00, 90.00, 118.70 degrees
Fractional coordinates of all 10 atoms:
Rb (0.000, 0.000, 0.000)
Os (0.310, 0.690, 0.500)
Os (0.690, 0.310, 0.500)
O (0.034, 0.336, 0.500)
O (0.309, 0.691, 0.000)
O (0.336, 0.034, 0.500)
O (0.500, 0.500, 0.500)
O (0.664, 0.966, 0.500)
O (0.691, 0.309, 0.000)
O (0.966, 0.664, 0.500)

---

2.
VASP calculation (PBE) on crystalline RbOsO3 at its relaxed geometry.

Properties
Space group: P6_3/mmc (194)
Crystal system: hexagonal
Final energy, eV per atom: -6.6577

Cell lengths 6.253, 6.253, 5.208 Å; angles 90.00, 90.00, 120.00 degrees
Fractional coordinates of all 10 atoms:
Rb (0.333, 0.667, 0.250)
Rb (0.667, 0.333, 0.750)
Os (0.000, 0.000, 0.000)
Os (0.000, 0.000, 0.500)
O (0.139, 0.278, 0.750)
O (0.139, 0.861, 0.750)
O (0.278, 0.139, 0.250)
O (0.722, 0.861, 0.750)
O (0.861, 0.139, 0.250)
O (0.861, 0.722, 0.250)

---

3.
VASP calculation (PBE) on crystalline RbOsO2 at its relaxed geometry.

Properties
Space group: Fm-3m (225)
Crystal system: cubic
Final energy, eV per atom: -4.7167

Cell lengths 4.214, 4.214, 4.214 Å; angles 60.00, 60.00, 60.00 degrees
Fractional coordinates of all 4 atoms:
Rb (0.000, 0.000, 0.000)
Os (0.500, 0.500, 0.500)
O (0.250, 0.250, 0.250)
O (0.750, 0.750, 0.750)

---

4.
VASP calculation (PBE) on crystalline RbReOsO6 at its relaxed geometry.

Properties
Space group: P312 (149)
Crystal system: trigonal
Final energy, eV per atom: -7.4064

Cell lengths 5.377, 5.377, 6.163 Å; angles 90.00, 90.00, 120.00 degrees
Fractional coordinates of all 9 atoms:
Rb (0.000, 0.000, 0.000)
Re (0.333, 0.667, 0.500)
Os (0.667, 0.333, 0.500)
O (0.005, 0.397, 0.669)
O (0.005, 0.608, 0.331)
O (0.392, 0.397, 0.331)
O (0.392, 0.995, 0.669)
O (0.603, 0.608, 0.669)
O (0.603, 0.995, 0.331)

---

5.
VASP calculation (PBE) on crystalline Rb2OsRhO6 at its relaxed geometry.

Properties
Space group: P-3m1 (164)
Crystal system: trigonal
Final energy, eV per atom: -6.1902

Cell lengths 6.234, 6.234, 5.170 Å; angles 90.00, 90.00, 120.00 degrees
Fractional coordinates of all 10 atoms:
Rb (0.333, 0.667, 0.274)
Rb (0.667, 0.333, 0.726)
Os (0.000, 0.000, 0.000)
Rh (0.000, 0.000, 0.500)
O (0.140, 0.281, 0.764)
O (0.140, 0.860, 0.764)
O (0.281, 0.140, 0.236)
O (0.719, 0.860, 0.764)
O (0.860, 0.140, 0.236)
O (0.860, 0.719, 0.236)

---

6.
VASP calculation (PBE) on crystalline RbOsRhO6 at its relaxed geometry.

Properties
Space group: Imma (74)
Crystal system: orthorhombic
Final energy, eV per atom: -6.5174

Cell lengths 7.247, 7.247, 7.247 Å; angles 121.10, 119.43, 89.54 degrees
Fractional coordinates of all 18 atoms:
Rb (0.368, 0.118, 0.250)
Rb (0.632, 0.882, 0.750)
Os (0.000, 0.500, 0.500)
Os (0.500, 0.500, 0.000)
Rh (0.000, 0.000, 0.500)
Rh (0.000, 0.500, 0.000)
O (0.069, 0.433, 0.259)
O (0.069, 0.809, 0.635)
O (0.075, 0.825, 0.250)
O (0.311, 0.561, 0.750)
O (0.326, 0.191, 0.759)
O (0.326, 0.567, 0.135)
O (0.674, 0.433, 0.865)
O (0.674, 0.809, 0.241)
O (0.689, 0.439, 0.250)
O (0.925, 0.175, 0.750)
O (0.931, 0.191, 0.365)
O (0.931, 0.567, 0.741)

---

Question: Look up the final energy of the sixth one.
Answer: -6.5174 eV per atom

---

Question: Look up the final energy of the third one.
Answer: -4.7167 eV per atom

---

Question: Which of these has the lowest final energy?
Answer: RbReOsO6